{
  "formula": "AlZnTe2",
  "functional": "PBEsol",
  "state": "optimized geometry",
  "final_energy_ev_per_atom": -3.100,
  "volume_a3_per_cell": 97,
  "cell": [[-3.0152, -1.3391, 2.1668], [2.3207, -0.0601, 3.1922], [-1.3159, 6.5798, -1.3597]],
  "species": ["Te", "Te", "Zn", "Al"],
  "fractional_positions": [[0.7500, 0.2500, 0.5000], [0.0000, 0.0000, 0.0000], [0.5000, 0.5000, 0.0000], [0.2500, 0.7500, 0.5000]]
}